4
Lattice="3.240 0.000 0.000 0.000 4.192 0.000 0.000 0.000 4.357" Properties=species:S:1:pos:R:3 comment="MgMnTc2 (PBE-GGA, relaxed)" magnetic_moment_mub_per_fu=2.983 dos_ef_per_ev_cell=3.904 formation_enthalpy_0k_ev_per_atom=0.242 space_group="Pmmm (47)" pbc="T T T"
Tc 1.620 2.096 0.000
Tc 0.000 0.000 0.000
Mg 1.620 0.000 2.179
Mn 0.000 2.096 2.179

=====

4
Lattice="3.046 0.000 0.000 0.000 3.046 0.000 0.000 0.000 6.823" Properties=species:S:1:pos:R:3 comment="MgMnTc2 (PBE-GGA, relaxed)" magnetic_moment_mub_per_fu=4.088 dos_ef_per_ev_cell=3.023 formation_enthalpy_0k_ev_per_atom=0.158 space_group="P4mm (99)" pbc="T T T"
Tc 1.523 1.523 1.509
Tc 0.000 0.000 0.091
Mg 0.000 0.000 3.360
Mn 1.523 1.523 5.274

=====

4
Lattice="-0.568 -0.364 2.552 -3.846 -1.137 -1.018 1.607 -5.105 -0.371" Properties=species:S:1:pos:R:3 comment="MgMnTc2 (PBE-GGA, relaxed)" magnetic_moment_mub_per_fu=1.974 dos_ef_per_ev_cell=4.136 formation_enthalpy_0k_ev_per_atom=0.281 space_group="Pmmm (47)" pbc="T T T"
Tc 0.829 -2.635 -0.191
Tc 1.581 -5.022 -0.365
Mg -1.805 -2.027 0.674
Mn -1.002 -4.579 0.489

=====

10
Lattice="-7.107 -1.038 -1.452 -0.663 -4.002 6.102 -0.603 2.201 1.378" Properties=species:S:1:pos:R:3 comment="MgMn2Tc2 (PBE-GGA, relaxed)" magnetic_moment_mub_per_fu=0.002 dos_ef_per_ev_cell=9.636 formation_enthalpy_0k_ev_per_atom=0.230 space_group="P4/mbm (127)" e_above_lowest_polymorph_mev_per_atom=70.3 pbc="T T T"
Tc -4.557 -1.170 -0.126
Tc -6.606 -3.422 2.574
Tc -3.213 -3.871 4.776
Tc -1.163 -1.618 2.076
Mn -1.896 -1.720 4.496
Mn -2.808 0.100 1.191
Mn -5.565 -2.939 4.838
Mn -6.477 -1.119 1.532
Mg -3.885 -2.520 2.325
Mg 0.000 0.000 0.000

=====

4
Lattice="9.023 0.000 0.000 8.605 2.715 0.000 8.605 1.325 2.369" Properties=species:S:1:pos:R:3 comment="MgMnTc2 (PBE-GGA, relaxed)" magnetic_moment_mub_per_fu=0.648 dos_ef_per_ev_cell=3.587 formation_enthalpy_0k_ev_per_atom=0.222 space_group="R-3m (166)" pbc="T T T"
Mg 6.558 1.010 0.592
Mn 19.675 3.030 1.777
Tc 0.207 0.032 0.019
Tc 12.910 1.988 1.166

=====

4
Lattice="2.715 0.000 0.000 0.000 2.715 0.000 0.000 0.000 7.846" Properties=species:S:1:pos:R:3 comment="MgMnTc2 (PBE-GGA, relaxed)" magnetic_moment_mub_per_fu=0.000 dos_ef_per_ev_cell=2.365 formation_enthalpy_0k_ev_per_atom=0.198 space_group="P4/mmm (123)" pbc="T T T"
Tc 0.000 0.000 7.585
Tc 0.000 0.000 4.183
Mg 1.358 1.358 1.961
Mn 1.358 1.358 5.884

=====

4
Lattice="2.709 0.002 0.000 -0.926 2.546 0.000 0.000 0.000 8.767" Properties=species:S:1:pos:R:3 comment="MgMnTc2 (PBE-GGA, relaxed)" magnetic_moment_mub_per_fu=2.673 dos_ef_per_ev_cell=3.528 formation_enthalpy_0k_ev_per_atom=0.242 space_group="Cmm2 (35)" pbc="T T T"
Mg 0.000 0.000 4.412
Tc 0.892 1.274 2.078
Tc 0.000 0.000 8.696
Mn 0.892 1.274 6.731

=====

4
Lattice="-2.281 -1.380 0.031 1.436 -0.825 -2.090 3.732 -6.057 4.957" Properties=species:S:1:pos:R:3 comment="MgMnTc2 (PBE-GGA, relaxed)" magnetic_moment_mub_per_fu=1.966 dos_ef_per_ev_cell=2.851 formation_enthalpy_0k_ev_per_atom=0.170 space_group="Cmmm (65)" pbc="T T T"
Tc 1.940 -3.149 2.577
Tc 3.658 -5.937 4.858
Mn 2.376 -5.646 2.688
Mg 0.510 -2.617 0.210

=====

8
Lattice="-5.752 3.939 0.862 -3.145 -3.443 -5.254 -5.376 -1.474 -0.512" Properties=species:S:1:pos:R:3 comment="MgMnTc2 (PBE-GGA, relaxed)" magnetic_moment_mub_per_fu=0.000 dos_ef_per_ev_cell=13.507 formation_enthalpy_0k_ev_per_atom=0.547 space_group="I-42d (122)" pbc="T T T"
Mn 0.000 0.000 0.000
Mn -7.788 1.357 -0.923
Tc -5.691 1.909 -0.192
Tc -7.172 -0.705 -1.703
Tc -12.013 -0.886 -4.555
Tc -3.670 -2.273 -3.358
Mg -6.485 -2.334 -3.981
Mg -4.448 0.248 -2.196

=====

4
Lattice="5.111 -0.007 0.009 4.214 2.892 0.009 1.871 0.579 3.921" Properties=species:S:1:pos:R:3 comment="MgMnTc2 (PBE-GGA, relaxed)" magnetic_moment_mub_per_fu=1.657 dos_ef_per_ev_cell=4.405 formation_enthalpy_0k_ev_per_atom=0.172 space_group="Immm (71)" pbc="T T T"
Mg 8.397 2.598 2.954
Tc 9.217 2.851 0.075
Tc 5.706 1.765 1.911
Mn 2.799 0.866 0.985

=====

4
Lattice="5.075 -0.015 -0.034 2.226 4.561 0.034 -3.165 -3.053 2.534" Properties=species:S:1:pos:R:3 comment="MgMnTc2 (PBE-GGA, relaxed)" magnetic_moment_mub_per_fu=2.069 dos_ef_per_ev_cell=4.434 formation_enthalpy_0k_ev_per_atom=0.195 space_group="Imm2 (44)" pbc="T T T"
Tc 2.900 -0.323 1.250
Tc 7.290 4.539 0.000
Mg 3.651 2.273 0.000
Mn 1.246 1.822 1.284

=====

4
Lattice="-3.780 1.946 -2.566 -4.441 -2.091 0.753 3.647 1.765 2.872" Properties=species:S:1:pos:R:3 comment="MgMnTc2 (PBE-GGA, relaxed)" magnetic_moment_mub_per_fu=2.264 dos_ef_per_ev_cell=4.412 formation_enthalpy_0k_ev_per_atom=0.253 space_group="I4/mmm (139)" pbc="T T T"
Tc -4.110 -0.073 -0.907
Tc 0.000 0.000 0.000
Mn -2.122 1.819 -0.301
Mg -2.452 -0.200 1.359

=====

4
Lattice="-3.263 -2.513 3.032 3.351 -2.776 -2.687 1.666 -0.600 1.955" Properties=species:S:1:pos:R:3 comment="MgMnTc2 (PBE-GGA, relaxed)" magnetic_moment_mub_per_fu=2.686 dos_ef_per_ev_cell=3.877 formation_enthalpy_0k_ev_per_atom=0.236 space_group="C2/m (12)" pbc="T T T"
Mn 2.509 -1.688 -0.366
Tc 0.044 -2.644 0.173
Tc 0.000 0.000 0.000
Mg -0.798 -1.556 2.493

=====

4
Lattice="-4.667 -6.720 -4.259 -2.112 -7.875 -4.312 -3.741 -8.178 -2.049" Properties=species:S:1:pos:R:3 comment="MgMnTc2 (PBE-GGA, relaxed)" magnetic_moment_mub_per_fu=3.533 dos_ef_per_ev_cell=2.683 formation_enthalpy_0k_ev_per_atom=0.205 space_group="R3m (160)" pbc="T T T"
Tc -10.498 -22.727 -10.598
Tc -2.689 -5.822 -2.715
Mg -5.267 -11.402 -5.317
Mn -7.845 -16.984 -7.920

=====

4
Lattice="4.513 0.000 0.000 0.000 4.513 0.000 0.000 0.000 2.821" Properties=species:S:1:pos:R:3 comment="MgMnTc2 (PBE-GGA, relaxed)" magnetic_moment_mub_per_fu=1.335 dos_ef_per_ev_cell=5.099 formation_enthalpy_0k_ev_per_atom=0.368 space_group="P4/mmm (123)" pbc="T T T"
Tc 2.257 2.257 0.000
Tc 0.000 0.000 0.000
Mg 2.257 0.000 1.411
Mn 0.000 2.257 1.411

=====

4
Lattice="4.298 -0.861 0.000 0.868 4.297 0.000 -2.583 -1.718 3.097" Properties=species:S:1:pos:R:3 comment="MgMnTc2 (PBE-GGA, relaxed)" magnetic_moment_mub_per_fu=3.517 dos_ef_per_ev_cell=4.384 formation_enthalpy_0k_ev_per_atom=0.203 space_group="F-43m (216)" pbc="T T T"
Mg 2.583 1.718 0.000
Tc 0.434 2.148 1.549
Tc 0.000 0.000 0.000
Mn 2.149 -0.431 1.549

=====

4
Lattice="-3.544 -2.437 -0.851 1.499 -2.184 0.010 -0.309 -1.301 5.014" Properties=species:S:1:pos:R:3 comment="MgMnTc2 (PBE-GGA, relaxed)" magnetic_moment_mub_per_fu=2.638 dos_ef_per_ev_cell=3.481 formation_enthalpy_0k_ev_per_atom=0.207 space_group="Pm (6)" pbc="T T T"
Tc -1.518 -2.000 0.760
Tc 0.044 -0.080 0.046
Mg 0.590 -1.745 2.541
Mn -0.874 -3.839 3.339

=====

4
Lattice="-2.517 -3.064 3.106 4.910 0.594 0.954 -0.541 2.004 1.539" Properties=species:S:1:pos:R:3 comment="MgMnTc2 (PBE-GGA, relaxed)" magnetic_moment_mub_per_fu=2.518 dos_ef_per_ev_cell=4.048 formation_enthalpy_0k_ev_per_atom=0.293 space_group="Cmmm (65)" pbc="T T T"
Tc 1.197 -1.235 2.030
Tc 0.000 0.000 0.000
Mn 2.184 1.299 1.246
Mg -1.529 -0.530 2.322

=====

4
Lattice="4.326 0.000 0.000 0.000 2.650 -0.020 0.000 1.058 5.058" Properties=species:S:1:pos:R:3 comment="MgMnTc2 (PBE-GGA, relaxed)" magnetic_moment_mub_per_fu=2.017 dos_ef_per_ev_cell=3.229 formation_enthalpy_0k_ev_per_atom=0.203 space_group="P2/m (10)" pbc="T T T"
Mg 2.163 0.927 1.259
Tc 0.000 3.620 5.026
Tc 0.000 1.943 2.531
Mn 2.163 2.781 3.778

=====

4
Lattice="-0.765 4.117 -2.226 1.117 0.459 -4.586 -3.433 0.334 -3.255" Properties=species:S:1:pos:R:3 comment="ThMgMnTc (PBE-GGA, relaxed)" magnetic_moment_mub_per_fu=2.765 dos_ef_per_ev_cell=4.512 formation_enthalpy_0k_ev_per_atom=0.155 space_group="F-43m (216)" pbc="T T T"
Tc -0.770 1.228 -2.517
Th 0.000 0.000 0.000
Mg -1.541 2.455 -5.034
Mn -2.311 3.683 -7.550